Computed, not measured: a relaxed MgSbCl2 crystal at the GGA-PBE level of DFT.

a b c (Å): 5.121 5.121 5.121
angles (deg): 60.00 60.00 60.00
Element x y z (fractional)
Mg1 0.000 0.000 0.000
Sb1 0.500 0.500 0.500
Cl1 0.250 0.250 0.250
Cl2 0.750 0.750 0.750

## Properties
M_tot: 0.00 μB/atom
space group: Fm-3m, No. 225
energy: -0.184 Ry/atom
ΔE_f (raw): -0.154 eV/atom

Computed, not measured: a relaxed Sm3YTm6 crystal at the GGA-PBE level of DFT.

a b c (Å): 6.273 10.815 10.815
angles (deg): 119.58 90.00 90.00
Element x y z (fractional)
Tm1 0.650 0.273 0.727
Tm2 0.043 0.713 0.620
Tm3 0.543 0.287 0.380
Tm4 0.369 0.530 0.951
Tm5 0.150 0.727 0.273
Tm6 0.869 0.951 0.530
Tm7 0.869 0.470 0.049
Tm8 0.369 0.049 0.470
Tm9 0.375 0.961 0.039
Tm10 0.875 0.039 0.961
Tm11 0.543 0.620 0.713
Tm12 0.043 0.380 0.287
Y1 0.134 0.196 0.804
Y2 0.634 0.804 0.196
Sm1 0.570 0.611 0.389
Sm2 0.466 0.936 0.712
Sm3 0.966 0.064 0.288
Sm4 0.466 0.288 0.064
Sm5 0.966 0.712 0.936
Sm6 0.070 0.389 0.611

## Properties
M_tot: 0.00 μB/atom
space group: Cmc2_1, No. 36
formation energy from the elements: 0.157 eV per atom
energy: -0.337 Ry/atom

Computed, not measured: a relaxed NdThGeSe crystal at the GGA-PBE level of DFT.

a b c (Å): 4.291 4.291 7.373
angles (deg): 73.08 73.08 60.00
Element x y z (fractional)
Ge1 0.445 0.445 0.664
Nd1 0.698 0.698 0.907
Se1 0.943 0.943 0.170
Th1 0.190 0.190 0.429

## Properties
M_tot: 0.00 μB/atom
space group: R3m, No. 160
energy: -0.470 Ry/atom
ΔE_f (raw): -1.320 eV/atom

Computed, not measured: a relaxed HoEr5Ni2 crystal at the GGA-PBE level of DFT.

a b c (Å): 3.795 8.721 8.721
angles (deg): 48.57 77.43 77.43
Element x y z (fractional)
Er1 0.000 0.500 0.500
Er2 0.656 0.091 0.598
Er3 0.344 0.402 0.909
Er4 0.344 0.909 0.402
Er5 0.656 0.598 0.091
Ni1 0.804 0.696 0.696
Ni2 0.196 0.304 0.304
Ho1 0.000 0.000 0.000

## Properties
M_tot: 0.00 μB/atom
space group: Immm, No. 71
formation energy from the elements: -0.146 eV per atom
energy: -0.369 Ry/atom

Computed, not measured: a relaxed Pa8Ge2Os crystal at the GGA-PBE level of DFT.

a b c (Å): 4.245 7.292 8.702
angles (deg): 96.61 104.12 90.00
Element x y z (fractional)
Pa1 0.338 0.967 0.676
Pa2 0.662 0.033 0.324
Pa3 0.218 0.346 0.436
Pa4 0.782 0.654 0.564
Pa5 0.013 0.251 0.027
Pa6 0.403 0.515 0.806
Pa7 0.987 0.749 0.973
Pa8 0.597 0.485 0.194
Os1 0.500 0.000 0.000
Ge1 0.830 0.250 0.660
Ge2 0.170 0.750 0.340

## Properties
M_tot: 0.00 μB/atom
space group: C2/m, No. 12
formation energy from the elements: -0.162 eV per atom
energy: -0.656 Ry/atom

Computed, not measured: a relaxed CrP2Au crystal at the GGA-PBE level of DFT.

a b c (Å): 4.133 4.133 5.145
angles (deg): 87.77 87.77 43.80
Element x y z (fractional)
Au1 0.750 0.750 0.750
Cr1 0.250 0.250 0.250
P1 0.962 0.962 0.086
P2 0.538 0.538 0.414

## Properties
M_tot: 0.08 μB/atom
space group: C2/m, No. 12
formation energy from the elements: 0.065 eV per atom
energy: -0.431 Ry/atom

Computed, not measured: a relaxed LiLuAlCu crystal at the GGA-PBE level of DFT.

a b c (Å): 4.536 4.536 4.536
angles (deg): 60.00 60.00 60.00
Element x y z (fractional)
Cu1 0.250 0.250 0.250
Al1 0.500 0.500 0.500
Li1 0.750 0.750 0.750
Lu1 0.000 0.000 0.000

## Properties
M_tot: 0.00 μB/atom
space group: F-43m, No. 216
formation energy from the elements: -0.329 eV per atom
energy: -0.286 Ry/atom

Computed, not measured: a relaxed CaTl2Br8 crystal at the GGA-PBE level of DFT.

a b c (Å): 9.400 10.762 11.185
angles (deg): 75.85 65.15 64.10
Element x y z (fractional)
Br1 0.142 0.698 0.971
Br2 0.341 0.548 0.261
Br3 0.655 0.227 0.449
Br4 0.811 0.802 0.529
Br5 0.715 0.964 0.191
Br6 0.659 0.452 0.739
Br7 0.130 0.464 0.691
Br8 0.285 0.036 0.809
Br9 0.150 0.952 0.239
Br10 0.858 0.302 0.029
Br11 0.331 0.273 0.051
Br12 0.669 0.727 0.949
Br13 0.850 0.048 0.761
Br14 0.870 0.536 0.309
Br15 0.345 0.773 0.551
Br16 0.189 0.198 0.471
Tl1 0.834 0.855 0.962
Tl2 0.166 0.145 0.038
Tl3 0.652 0.645 0.538
Tl4 0.348 0.355 0.462
Ca1 0.990 0.250 0.750
Ca2 0.010 0.750 0.250

## Properties
M_tot: 0.00 μB/atom
space group: C2/c, No. 15
energy: -0.199 Ry/atom
ΔE_f (raw): -0.881 eV/atom

Computed, not measured: a relaxed Cs2SrAl crystal at the GGA-PBE level of DFT.

a b c (Å): 5.216 5.216 15.151
angles (deg): 80.09 80.09 90.00
Element x y z (fractional)
Cs1 0.620 0.125 0.250
Cs2 0.375 0.380 0.750
Cs3 0.875 0.870 0.750
Cs4 0.130 0.625 0.250
Sr1 0.750 0.250 0.500
Sr2 0.000 0.000 0.000
Al1 0.500 0.500 0.000
Al2 0.250 0.750 0.500

## Properties
M_tot: 0.00 μB/atom
space group: I-42d, No. 122
formation energy from the elements: 0.445 eV per atom
energy: -0.098 Ry/atom

Computed, not measured: a relaxed Mg8Cu2Rh crystal at the GGA-PBE level of DFT.

a b c (Å): 4.513 6.562 7.829
angles (deg): 111.51 106.75 90.00
Element x y z (fractional)
Mg1 0.334 0.067 0.667
Mg2 0.666 0.933 0.333
Mg3 0.819 0.743 0.637
Mg4 0.603 0.442 0.207
Mg5 0.025 0.781 0.051
Mg6 0.975 0.219 0.949
Mg7 0.397 0.558 0.793
Mg8 0.181 0.257 0.363
Rh1 0.500 0.000 0.000
Cu1 0.815 0.324 0.629
Cu2 0.185 0.676 0.371

## Properties
M_tot: 0.00 μB/atom
space group: C2/m, No. 12
formation energy from the elements: -0.147 eV per atom
energy: -0.200 Ry/atom

Computed, not measured: a relaxed CsNa5Bi2 crystal at the GGA-PBE level of DFT.

a b c (Å): 5.450 8.395 8.395
angles (deg): 70.73 71.06 71.06
Element x y z (fractional)
Na1 0.694 0.481 0.131
Na2 0.306 0.869 0.519
Na3 0.000 0.500 0.500
Na4 0.306 0.519 0.869
Na5 0.694 0.131 0.481
Bi1 0.247 0.253 0.253
Bi2 0.753 0.747 0.747
Cs1 0.000 0.000 0.000

## Properties
M_tot: 0.00 μB/atom
space group: Immm, No. 71
formation energy from the elements: -0.348 eV per atom
energy: -0.165 Ry/atom

Computed, not measured: a relaxed RbLiBr2F8 crystal at the GGA-PBE level of DFT.

a b c (Å): 5.287 5.287 8.931
angles (deg): 90.00 90.00 120.00
Element x y z (fractional)
F1 0.667 0.333 0.994
F2 0.934 0.652 0.364
F3 0.348 0.282 0.364
F4 0.282 0.934 0.636
F5 0.652 0.718 0.636
F6 0.066 0.348 0.636
F7 0.333 0.667 0.006
F8 0.718 0.066 0.364
Li1 0.000 0.000 0.500
Br1 0.667 0.333 0.224
Br2 0.333 0.667 0.776
Rb1 0.000 0.000 0.000

## Properties
M_tot: 0.33 μB/atom
space group: P-3, No. 147
energy: -0.217 Ry/atom
ΔE_f (raw): -1.187 eV/atom